[1]
This record from the Alexandria database describes a geometry-optimized ZrTa2Rh structure. The functional is PBE.

Unit cell a=5.4251 b=5.4251 c=4.6784 alpha=64.48 beta=64.48 gamma=36.05
Fractional coordinates of all 4 atoms:
Ta  0.9927  0.9927  0.0071
Rh  0.2548  0.2548  0.2454
Ta  0.7446  0.7446  0.7554
Zr  0.5079  0.5079  0.4921

Output
Energy relative to the elements ... -0.190 eV per atom
SG ... Imm2 (44)
Magnetization ... 0.0 Bohr magnetons per cell

***

[2]
This record from the Alexandria database describes a geometry-optimized SrCdBr structure. The functional is PBE.

Unit cell a=7.6015 b=7.6006 c=3.9465 alpha=74.97 beta=74.94 gamma=30.09
Fractional coordinates of all 3 atoms:
Sr  0.6536  0.6536  0.3464
Br  0.0419  0.0419  0.9581
Cd  0.3046  0.3046  0.6954

Output
Raw formation energy ... -0.884 eV per atom
SG ... I4mm (107)
Magnetization ... 0.0 Bohr magnetons per cell

***

[3]
This record from the Alexandria database describes a geometry-optimized Pm2Ni3AgAs4 structure. The functional is PBE.

Unit cell a=4.2712 b=4.2712 c=9.7605 alpha=90.00 beta=90.00 gamma=90.00
Fractional coordinates of all 10 atoms:
Ni  0.5000  0.0000  0.8881
As  0.0000  0.5000  0.3530
Pm  0.5000  0.0000  0.2408
Ni  0.0000  0.5000  0.1119
Pm  0.0000  0.5000  0.7592
As  0.5000  0.0000  0.6470
Ni  0.0000  0.0000  0.5000
As  0.0000  0.0000  0.0000
As  0.5000  0.5000  0.0000
Ag  0.5000  0.5000  0.5000

Output
Energy relative to the elements ... -0.714 eV per atom
SG ... P-4m2 (115)
Magnetization ... 0.0 Bohr magnetons per cell

***

[4]
This record from the Alexandria database describes a geometry-optimized MnRuSeS2 structure. The functional is PBE.

Unit cell a=4.9142 b=4.6079 c=4.9142 alpha=90.00 beta=90.00 gamma=90.00
Last column: magnetic moment on the atom in μB.
Fractional coordinates of all 5 atoms:
Ru  0.5000  0.5000  0.5000  -2.52
S  0.0000  0.0000  0.5000  0.01
Mn  0.0000  0.5000  0.0000  4.06
Se  0.0000  0.0000  0.0000  -0.04
S  0.5000  0.0000  0.0000  -0.05

Output
Raw formation energy ... 1.258 eV per atom
SG ... P4/mmm (123)
Magnetization ... 1.5 Bohr magnetons per cell

***

[5]
This record from the Alexandria database describes a geometry-optimized YZn2Sn structure. The functional is PBE.

Unit cell a=4.3650 b=4.3650 c=10.5806 alpha=78.10 beta=78.10 gamma=90.00
Fractional coordinates of all 8 atoms:
Zn  0.8750  0.9263  0.7500
Sn  0.0000  0.0000  0.0000
Zn  0.0737  0.6250  0.2500
Y  0.2500  0.7500  0.5000
Zn  0.3750  0.3237  0.7500
Sn  0.7500  0.2500  0.5000
Zn  0.6763  0.1250  0.2500
Y  0.5000  0.5000  0.0000

Output
Energy relative to the elements ... -0.115 eV per atom
SG ... I-42d (122)
Magnetization ... 0.0 Bohr magnetons per cell

***

[6]
This record from the Alexandria database describes a geometry-optimized BiAu2I6 structure. The functional is PBE.

Unit cell a=8.5849 b=10.3319 c=10.3319 alpha=90.44 beta=78.69 gamma=78.69
Fractional coordinates of all 18 atoms:
I  0.0515  0.5927  0.6201
Bi  0.2500  0.0920  0.9080
I  0.5515  0.6201  0.5927
Au  0.2687  0.6863  0.7518
I  0.3719  0.0077  0.2111
I  0.1695  0.0836  0.6514
I  0.6281  0.9923  0.7889
Au  0.2313  0.2482  0.3137
Au  0.7687  0.7518  0.6863
I  0.8305  0.9164  0.3486
Bi  0.7500  0.9080  0.0920
I  0.1281  0.7889  0.9923
I  0.4485  0.3799  0.4073
I  0.8719  0.2111  0.0077
I  0.3305  0.3486  0.9164
I  0.6695  0.6514  0.0836
Au  0.7313  0.3137  0.2482
I  0.9485  0.4073  0.3799

Output
Raw formation energy ... -0.156 eV per atom
SG ... C2/c (15)
Magnetization ... 0.0 Bohr magnetons per cell

***

[7]
This record from the Alexandria database describes a geometry-optimized Sr2TbNpP4 structure. The functional is PBE.

Unit cell a=4.1551 b=7.1282 c=7.3175 alpha=108.88 beta=90.00 gamma=90.00
Last column: magnetic moment on the atom in μB.
Fractional coordinates of all 8 atoms:
Tb  0.0000  0.0000  0.0000  -0.04
Sr  0.5000  0.0000  0.5000  -0.03
P  0.0000  0.7276  0.2113  -0.10
P  0.0000  0.2724  0.7887  -0.10
P  0.5000  0.7474  0.7845  -0.09
P  0.5000  0.2526  0.2155  -0.09
Sr  0.0000  0.5000  0.5000  -0.01
Np  0.5000  0.5000  0.0000  2.83

Output
Energy relative to the elements ... -1.112 eV per atom
SG ... P2/m (10)
Magnetization ... 2.0 Bohr magnetons per cell

***

[8]
This record from the Alexandria database describes a geometry-optimized Y2CdReO8 structure. The functional is PBE.

Unit cell a=4.9601 b=4.9581 c=7.0443 alpha=90.00 beta=90.00 gamma=92.25
Last column: magnetic moment on the atom in μB.
Fractional coordinates of all 12 atoms:
O  0.8165  0.1845  0.8075  0.07
Y  0.4999  0.4999  0.7479  -0.01
O  0.2791  0.2782  0.0001  0.10
O  0.1835  0.8155  0.1925  0.07
O  0.6961  0.6971  0.5001  0.10
O  0.3039  0.3029  0.4999  0.10
O  0.7209  0.7218  0.9999  0.10
O  0.1837  0.8157  0.8075  0.07
Cd  0.0000  0.0000  0.5000  0.02
Re  0.0000  0.0000  0.0000  -0.05
Y  0.5001  0.5001  0.2521  -0.01
O  0.8163  0.1843  0.1925  0.07

Output
Raw formation energy ... -2.135 eV per atom
SG ... Cmmm (65)
Magnetization ... 0.8 Bohr magnetons per cell

***

What is the formula in the sixth record?
BiAu2I6